[1]
## Ho2SeCl (GGA-PBE)

Data for an optimized crystal structure of Ho2SeCl.

Cell and atoms, written as CIF:
```
data_Ho2SeCl
_chemical_formula_sum 'Ho2 Se1 Cl1'
_cell_length_a 3.8625
_cell_length_b 3.8625
_cell_length_c 7.7215
_cell_angle_alpha 75.52
_cell_angle_beta 75.52
_cell_angle_gamma 60.00
_space_group_name_H-M_alt 'P 1'
_space_group_IT_number 1
loop_
_space_group_symop_operation_xyz
'x,y,z'
loop_
_atom_site_label
_atom_site_type_symbol
_atom_site_fract_x
_atom_site_fract_y
_atom_site_fract_z
Ho1 Ho 0.2603 0.2603 0.2191
Ho2 Ho 0.7397 0.7397 0.7809
Se1 Se 0.0000 0.0000 0.0000
Cl1 Cl 0.5000 0.5000 0.5000
```

Summary:
Raw formation energy ... -130.96 kJ/mol of atoms
Density of states at the Fermi level ... 1.4 states/eV/f.u.
Relative energy among the computed polymorphs ... 0.35 kcal/mol of atoms
Energy ... -4.979 eV/atom
Size of the total moment ... 0.000 Bohr magnetons per cell
Theoretical density ... 7.7 Mg/m³
Crystal system ... trigonal

[2]
## TlSi4Cl (GGA-PBE)

Data for an optimized crystal structure of TlSi4Cl.

Cell and atoms, written as CIF:
```
data_TlSi4Cl
_chemical_formula_sum 'Tl1 Si4 Cl1'
_cell_length_a 5.4507
_cell_length_b 5.4507
_cell_length_c 5.4507
_cell_angle_alpha 60.00
_cell_angle_beta 60.00
_cell_angle_gamma 60.00
_space_group_name_H-M_alt 'P 1'
_space_group_IT_number 1
loop_
_space_group_symop_operation_xyz
'x,y,z'
loop_
_atom_site_label
_atom_site_type_symbol
_atom_site_fract_x
_atom_site_fract_y
_atom_site_fract_z
Tl1 Tl 0.7500 0.7500 0.7500
Si1 Si 0.8774 0.3742 0.3742
Si2 Si 0.3742 0.3742 0.8774
Si3 Si 0.3742 0.8774 0.3742
Si4 Si 0.3742 0.3742 0.3742
Cl1 Cl 0.0000 0.0000 0.0000
```

Summary:
Raw formation energy ... 45.57 kJ/mol of atoms
Density of states at the Fermi level ... 3.7 states/eV/f.u.
Energy ... -3.845 eV/atom
Size of the total moment ... 0.000 Bohr magnetons per cell
Theoretical density ... 5.1 Mg/m³
Crystal system ... cubic